# PBE with a Hubbard U ScSnMoO6, relaxed
# uncorrected energy	-7.41	eV per atom
# total magnetization	1.00	μB/f.u.
data_ScSnMoO6
_space_group_name_H-M_alt 'P 42 n m'
_space_group_IT_number 102
_space_group_name_Hall 'P 4n -2n'
_cell_length_a 4.778
_cell_length_b 4.778
_cell_length_c 9.659
_cell_angle_alpha 90.00
_cell_angle_beta 90.00
_cell_angle_gamma 90.00
loop_
_atom_site_label
_atom_site_type_symbol
_atom_site_fract_x
_atom_site_fract_y
_atom_site_fract_z
_atom_site_occupancy
Sc1 Sc 0.000 0.000 0.000 1
Sn1 Sn 0.000 0.000 0.664 1
Mo1 Mo 0.000 0.000 0.331 1
O1 O 0.190 0.190 0.491 1
O2 O 0.193 0.193 0.169 1
O3 O 0.209 0.209 0.827 1